Record 1
The following is a PBE calculation of SrTeW2 after structural relaxation, from Alexandria.

Cell lengths 4.628, 4.628, 6.898 Å; angles 80.73, 80.73, 43.77 degrees
Fractional coordinates of all 4 atoms:
W  0.008  0.008  0.967
W  0.729  0.729  0.848
Sr  0.496  0.496  0.511
Te  0.266  0.266  0.174

Properties
As for the energy relative to the elements, uncorrected: 1.96 eV per formula unit. Its crystal system is monoclinic.


Record 2
The following is a PBE calculation of Ca2ZnCu2Pd5 after structural relaxation, from Alexandria.

Cell lengths 3.798, 9.530, 9.530 Å; angles 90.00, 90.00, 90.00 degrees
Fractional coordinates of all 20 atoms:
Pd  0.500  0.936  0.200
Pd  0.500  0.500  0.000
Pd  0.500  0.700  0.436
Pd  0.500  0.564  0.700
Pd  0.500  0.064  0.800
Pd  0.500  0.000  0.500
Pd  0.500  0.300  0.564
Pd  0.500  0.800  0.936
Pd  0.500  0.436  0.300
Pd  0.500  0.200  0.064
Ca  0.000  0.325  0.825
Ca  0.000  0.675  0.175
Ca  0.000  0.825  0.675
Ca  0.000  0.175  0.325
Cu  0.000  0.124  0.624
Cu  0.000  0.876  0.376
Cu  0.000  0.624  0.876
Cu  0.000  0.376  0.124
Zn  0.000  0.500  0.500
Zn  0.000  0.000  0.000

Properties
The value obtained for the formation energy is -4.93 eV per formula unit. Its crystal system is tetragonal.


Record 3
The following is a PBE calculation of LiTbInPt after structural relaxation, from Alexandria.

Cell lengths 4.806, 4.806, 4.806 Å; angles 60.00, 60.00, 60.00 degrees
Fractional coordinates of all 4 atoms:
Pt  0.750  0.750  0.750
Li  0.250  0.250  0.250
In  0.000  0.000  0.000
Tb  0.500  0.500  0.500

Properties
The value obtained for the formation energy is -3.04 eV per formula unit. Its crystal system is cubic.


Record 4
The following is a PBE calculation of CaHoAu6 after structural relaxation, from Alexandria.

Cell lengths 4.431, 5.169, 8.153 Å; angles 80.31, 74.23, 64.62 degrees
Fractional coordinates of all 8 atoms:
Ho  0.000  0.000  0.000
Au  0.503  0.242  0.752
Au  0.250  0.377  0.122
Au  0.497  0.758  0.248
Au  0.753  0.123  0.370
Au  0.247  0.877  0.630
Au  0.750  0.623  0.878
Ca  0.000  0.500  0.500

Properties
The value obtained for the formation energy is -4.86 eV per formula unit. Its crystal system is monoclinic.


Q: Number 3 is which compound?
A: LiTbInPt